First-principles (PBE) data for a relaxed EuMnGa3 crystal, as listed in Alexandria via LeMat-Bulk.

Lattice parameters (Å, degrees): 4.651 4.651 4.651 90.00 90.00 90.00
Site moments in Bohr magnetons follow the coordinates.
Fractional coordinates of all 5 atoms:
Ga1 0.000 0.000 0.500  0.01
Ga2 0.000 0.500 0.000  0.01
Ga3 0.500 0.000 0.000  0.01
Mn1 0.000 0.000 0.000  -0.13
Eu1 0.500 0.500 0.500  6.87

Properties
* space group: Pm-3m

***

First-principles (PBE) data for a relaxed Sr2LiBe3Au12 crystal, as listed in Alexandria via LeMat-Bulk.

Lattice parameters (Å, degrees): 7.881 7.881 7.881 64.34 64.34 64.34
Fractional coordinates of all 18 atoms:
Au1 0.117 0.633 0.117
Au2 0.907 0.335 0.335
Au3 0.665 0.093 0.665
Sr1 0.611 0.611 0.611
Au4 0.335 0.907 0.335
Sr2 0.389 0.389 0.389
Au5 0.883 0.883 0.367
Be1 0.500 0.000 0.000
Be2 0.000 0.500 0.000
Au6 0.367 0.883 0.883
Au7 0.117 0.117 0.633
Li1 0.000 0.000 0.000
Au8 0.633 0.117 0.117
Be3 0.000 0.000 0.500
Au9 0.335 0.335 0.907
Au10 0.665 0.665 0.093
Au11 0.093 0.665 0.665
Au12 0.883 0.367 0.883

Properties
* space group: R-3m

***

First-principles (PBE) data for a relaxed GdCdCu crystal, as listed in Alexandria via LeMat-Bulk.

Lattice parameters (Å, degrees): 3.424 3.424 6.033 106.48 106.48 90.00
Site moments in Bohr magnetons follow the coordinates.
Fractional coordinates of all 3 atoms:
Gd1 0.937 0.937 0.875  7.17
Cu1 0.271 0.271 0.542  0.00
Cd1 0.642 0.642 0.284  0.01

Properties
* space group: I4mm
* relative energy among the computed polymorphs: 0.1340 eV/atom

***

For the records above, the corresponding ΔE_f values read -1.76; -4.12; -0.46 eV/f.u..
For the records above, the corresponding volume values read 20.13; 21.06; 21.59 Å³ per atom.